# 1
Entry from the Alexandria database: a relaxed HfSc2Ru crystal (GGA-PBE).

```
4
Lattice="3.2263 0.0000 0.0000 0.0000 3.2263 0.0000 0.0000 0.0000 7.6338" Properties=species:S:1:pos:R:3 pbc="T T T"
Hf 0.0000 0.0000 0.0000
Sc 1.6132 1.6132 2.2655
Sc 1.6132 1.6132 5.3683
Ru 0.0000 0.0000 3.8169
```

## Properties
- Fermi-level density of states (states/eV per cell) = 3.94
- space group = No. 123
- distance to the lowest polymorph of the same formula (meV per atom) = 42
- energy of formation (eV/atom) = -0.270
- magnetic moment (Bohr magnetons per cell) = 0.0



# 2
Entry from the Alexandria database: a relaxed HfSc2Ru crystal (GGA-PBE).

```
16
Lattice="7.8369 0.0000 0.0000 0.0000 7.8369 0.0000 0.0000 0.0000 5.6051" Properties=species:S:1:pos:R:3 pbc="T T T"
Hf 0.0000 0.0000 0.0000
Hf 0.0000 3.9185 1.4013
Hf 3.9185 0.0000 4.2039
Hf 3.9185 3.9185 2.8026
Sc 1.4617 1.9592 3.5032
Sc 1.9592 5.3802 4.9045
Sc 1.9592 6.3752 2.1019
Sc 2.4567 1.9592 0.7006
Sc 5.3802 5.8777 0.7006
Sc 5.8777 1.4617 2.1019
Sc 5.8777 2.4567 4.9045
Sc 6.3752 5.8777 3.5032
Ru 0.0000 0.0000 2.8026
Ru 0.0000 3.9185 4.2039
Ru 3.9185 0.0000 1.4013
Ru 3.9185 3.9185 0.0000
```

## Properties
- Fermi-level density of states (states/eV per cell) = 22.84
- space group = No. 122
- distance to the lowest polymorph of the same formula (meV per atom) = 405
- energy of formation (eV/atom) = 0.094
- magnetic moment (Bohr magnetons per cell) = 0.0